## Pm2UCoO8 (PBE with a Hubbard U)

Data for a relaxed structure of Pm2UCoO8.

Properties
volume: 164 Å³/cell
raw total energy: -97.09 eV/cell

abc: 4.035 5.361 7.771
angles: 79.93 86.73 81.85
Space group P-1 (No. 2)
Inequivalent atoms, fractional coordinates:
Pm 0.014 0.041 0.239 [2 per cell]
U 0.500 0.500 0.500 [1 per cell]
Co 0.500 0.500 0.000 [1 per cell]
O 0.052 0.725 0.525 [2 per cell]
O 0.164 0.742 0.036 [2 per cell]
O 0.443 0.203 0.688 [2 per cell]
O 0.464 0.332 0.226 [2 per cell]